(1)
Entry from the Open Quantum Materials Database: a relaxed structure of K2CuTe2 (GGA-PBE).

The structure in CIF format:
```
data_K2CuTe2
_chemical_formula_sum 'K2 Cu1 Te2'
_symmetry_space_group_name_H-M 'P 1'
_symmetry_Int_Tables_number 1
_symmetry_space_group_name_Hall 'P 1'
_cell_length_a 3.9710
_cell_length_b 6.6504
_cell_length_c 7.0557
_cell_angle_alpha 78.50
_cell_angle_beta 89.91
_cell_angle_gamma 72.63
loop_
_atom_site_label
_atom_site_type_symbol
_atom_site_fract_x
_atom_site_fract_y
_atom_site_fract_z
_atom_site_occupancy
K1 K 0.1565 0.1883 0.2167 1
K2 K 0.8435 0.8117 0.7833 1
Cu1 Cu 0.5000 0.5000 0.5000 1
Te1 Te 0.1080 0.2829 0.7044 1
Te2 Te 0.8920 0.7171 0.2956 1
```

Properties
E_tot (eV/cell): -15.2
Space-group type: No. 2
Crystal system: triclinic

(2)
Entry from the Open Quantum Materials Database: a relaxed structure of Hf2Zr4Sb3C3 (GGA-PBE).

The structure in CIF format:
```
data_Hf2Zr4Sb3C3
_chemical_formula_sum 'Hf4 Zr8 Sb6 C6'
_symmetry_space_group_name_H-M 'P 1'
_symmetry_Int_Tables_number 1
_symmetry_space_group_name_Hall 'P 1'
_cell_length_a 5.9589
_cell_length_b 5.9589
_cell_length_c 14.4131
_cell_angle_alpha 101.93
_cell_angle_beta 101.93
_cell_angle_gamma 59.95
loop_
_atom_site_label
_atom_site_type_symbol
_atom_site_fract_x
_atom_site_fract_y
_atom_site_fract_z
_atom_site_occupancy
Hf1 Hf 0.0284 0.8598 0.5849 1
Hf2 Hf 0.1402 0.9716 0.9151 1
Hf3 Hf 0.8598 0.0284 0.0849 1
Hf4 Hf 0.9716 0.1402 0.4151 1
Zr1 Zr 0.1957 0.3646 0.0881 1
Zr2 Zr 0.3053 0.4691 0.4119 1
Zr3 Zr 0.3646 0.1957 0.5881 1
Zr4 Zr 0.4691 0.3053 0.9119 1
Zr5 Zr 0.5309 0.6947 0.0881 1
Zr6 Zr 0.6354 0.8043 0.4119 1
Zr7 Zr 0.6947 0.5309 0.5881 1
Zr8 Zr 0.8043 0.6354 0.9119 1
Sb1 Sb 0.0843 0.2436 0.7497 1
Sb2 Sb 0.2436 0.0843 0.2497 1
Sb3 Sb 0.4128 0.5872 0.7500 1
Sb4 Sb 0.5872 0.4128 0.2500 1
Sb5 Sb 0.7564 0.9157 0.7503 1
Sb6 Sb 0.9157 0.7564 0.2503 1
C1 C 0.0000 0.5000 0.5000 1
C2 C 0.1634 0.6735 0.0000 1
C3 C 0.3265 0.8366 0.5000 1
C4 C 0.5000 0.0000 0.0000 1
C5 C 0.6735 0.1634 0.5000 1
C6 C 0.8366 0.3265 0.0000 1
```

Properties
E_tot (eV/cell): -206.9
Space-group type: No. 15
Magnetic moment (μB/atom): 0.00
Crystal system: monoclinic

(3)
Entry from the Open Quantum Materials Database: a relaxed structure of ZrUAs (GGA-PBE).

The structure in CIF format:
```
data_ZrUAs
_chemical_formula_sum 'Zr1 U1 As1'
_symmetry_space_group_name_H-M 'P 1'
_symmetry_Int_Tables_number 1
_symmetry_space_group_name_Hall 'P 1'
_cell_length_a 4.6772
_cell_length_b 4.6772
_cell_length_c 4.6772
_cell_angle_alpha 60.00
_cell_angle_beta 60.00
_cell_angle_gamma 60.00
loop_
_atom_site_label
_atom_site_type_symbol
_atom_site_fract_x
_atom_site_fract_y
_atom_site_fract_z
_atom_site_occupancy
Zr1 Zr 0.0000 0.0000 0.0000 1
U1 U 0.5000 0.5000 0.5000 1
As1 As 0.7500 0.7500 0.7500 1
```

Properties
E_tot (eV/cell): -24.7
Space-group type: No. 216
Magnetic moment (μB/atom): 1.27
Crystal system: cubic

(4)
Entry from the Open Quantum Materials Database: a relaxed structure of RbAcTb (GGA-PBE).

The structure in CIF format:
```
data_RbAcTb
_chemical_formula_sum 'Rb1 Ac1 Tb1'
_symmetry_space_group_name_H-M 'P 1'
_symmetry_Int_Tables_number 1
_symmetry_space_group_name_Hall 'P 1'
_cell_length_a 6.2335
_cell_length_b 6.2335
_cell_length_c 6.2335
_cell_angle_alpha 60.00
_cell_angle_beta 60.00
_cell_angle_gamma 60.00
loop_
_atom_site_label
_atom_site_type_symbol
_atom_site_fract_x
_atom_site_fract_y
_atom_site_fract_z
_atom_site_occupancy
Rb1 Rb 0.0000 0.0000 0.0000 1
Ac1 Ac 0.5000 0.5000 0.5000 1
Tb1 Tb 0.2500 0.2500 0.2500 1
```

Properties
E_tot (eV/cell): -6.5
Space-group type: No. 216
Magnetic moment (μB/atom): 0.43
Crystal system: cubic

- What is the formula in the third record?
  ZrUAs